# 1
The following is a PBE calculation of crystalline NbAlPdPt at its relaxed geometry, from Alexandria via LeMat-Bulk.

Computed properties:
Total DFT energy (no corrections), eV/atom: -6.98
Energy of formation, eV/atom: -0.72

Geometry as POSCAR:
```
NbAlPdPt
1.0
2.899 0.000 0.000
0.000 2.899 0.000
0.000 0.000 7.378
Nb Al Pd Pt
1 1 1 1
Direct
0.000 0.000 0.000
0.000 0.000 0.502
0.500 0.500 0.720
0.500 0.500 0.277
```

# 2
The following is a PBE calculation of crystalline Sc2NbAlPd at its relaxed geometry, from Alexandria via LeMat-Bulk.

Computed properties:
Total DFT energy (no corrections), eV/atom: -5.64
Energy relative to the lowest polymorph listed for this composition, meV per atom: 3.8
Energy of formation, eV/atom: 0.69

Geometry as POSCAR:
```
Sc2NbAlPd
1.0
4.974 0.000 0.000
0.000 4.974 0.000
0.000 0.000 4.733
Sc Nb Al Pd
2 1 1 1
Direct
0.000 0.500 0.000
0.500 0.000 0.000
0.000 0.000 0.500
0.000 0.000 0.000
0.500 0.500 0.500
```

# 3
The following is a PBE calculation of crystalline Sc2NbAlPd at its relaxed geometry, from Alexandria via LeMat-Bulk.

Computed properties:
Total DFT energy (no corrections), eV/atom: -5.64
Energy relative to the lowest polymorph listed for this composition, meV per atom: 0.0
Energy of formation, eV/atom: 0.69

Geometry as POSCAR:
```
Sc2NbAlPd
1.0
5.091 0.000 0.000
0.000 5.091 0.000
0.000 0.000 4.795
Sc Nb Al Pd
2 1 1 1
Direct
0.000 0.500 0.000
0.500 0.000 0.000
0.000 0.000 0.000
0.500 0.500 0.500
0.000 0.000 0.500
```

# 4
The following is a PBE calculation of crystalline NbAlPdSe2 at its relaxed geometry, from Alexandria via LeMat-Bulk.

Computed properties:
Total DFT energy (no corrections), eV/atom: -4.83
Uncorrected formation energy, eV/f.u.: 1.8

Geometry as POSCAR:
```
NbAlPdSe2
1.0
4.945 0.000 0.000
0.000 4.945 0.000
0.000 0.000 5.169
Nb Al Pd Se
1 1 1 2
Direct
0.000 0.000 0.000
0.000 0.000 0.500
0.500 0.500 0.500
0.000 0.500 0.000
0.500 0.000 0.000
```

# 5
The following is a PBE calculation of crystalline NbAlPd2Se at its relaxed geometry, from Alexandria via LeMat-Bulk.

Computed properties:
Total DFT energy (no corrections), eV/atom: -5.29
Uncorrected formation energy, eV/f.u.: 1.2

Geometry as POSCAR:
```
NbAlPd2Se
1.0
4.602 0.000 0.000
0.000 4.602 0.000
0.000 0.000 4.856
Nb Al Pd Se
1 1 2 1
Direct
0.000 0.000 0.000
0.500 0.500 0.000
0.000 0.500 0.500
0.500 0.000 0.500
0.000 0.000 0.500
```

# 6
The following is a PBE calculation of crystalline NbAl2SiPd at its relaxed geometry, from Alexandria via LeMat-Bulk.

Computed properties:
Total DFT energy (no corrections), eV/atom: -4.77
Uncorrected formation energy, eV/f.u.: 4.3

Geometry as POSCAR:
```
NbAl2SiPd
1.0
4.950 0.000 0.000
0.000 4.950 0.000
0.000 0.000 4.781
Nb Al Si Pd
1 2 1 1
Direct
0.000 0.000 0.000
0.000 0.500 0.000
0.500 0.000 0.000
0.000 0.000 0.500
0.500 0.500 0.500
```

# 7
The following is a PBE calculation of crystalline SrNbAl2Pd at its relaxed geometry, from Alexandria via LeMat-Bulk.

Computed properties:
Total DFT energy (no corrections), eV/atom: -3.10
Energy of formation, eV/atom: 1.78

Geometry as POSCAR:
```
SrNbAl2Pd
1.0
5.275 0.000 0.000
0.000 5.275 0.000
0.000 0.000 4.859
Sr Nb Al Pd
1 1 2 1
Direct
0.000 0.000 0.000
0.500 0.500 0.500
0.000 0.500 0.000
0.500 0.000 0.000
0.000 0.000 0.500
```

# 8
The following is a PBE calculation of crystalline TiNbAlPd at its relaxed geometry, from Alexandria via LeMat-Bulk.

Computed properties:
Total DFT energy (no corrections), eV/atom: -7.00
Energy relative to the lowest polymorph listed for this composition, meV per atom: 190.9
Energy of formation, eV/atom: -0.27

Geometry as POSCAR:
```
TiNbAlPd
1.0
6.383 0.000 0.000
0.000 6.383 0.000
0.000 0.000 6.383
Ti Nb Al Pd
4 4 4 4
Direct
0.000 0.000 0.000
0.000 0.500 0.500
0.500 0.000 0.500
0.500 0.500 0.000
0.250 0.250 0.750
0.250 0.750 0.250
0.750 0.250 0.250
0.750 0.750 0.750
0.000 0.000 0.500
0.000 0.500 0.000
0.500 0.000 0.000
0.500 0.500 0.500
0.250 0.250 0.250
0.250 0.750 0.750
0.750 0.250 0.750
0.750 0.750 0.250
```

# 9
The following is a PBE calculation of crystalline TiNbAlPd at its relaxed geometry, from Alexandria via LeMat-Bulk.

Computed properties:
Total DFT energy (no corrections), eV/atom: -7.19
Energy relative to the lowest polymorph listed for this composition, meV per atom: 0.0
Energy of formation, eV/atom: -0.46

Geometry as POSCAR:
```
TiNbAlPd
1.0
2.882 0.000 0.000
0.000 2.882 0.000
0.000 0.000 7.820
Ti Nb Al Pd
1 1 1 1
Direct
0.000 0.000 0.000
0.500 0.500 0.279
0.000 0.000 0.537
0.500 0.500 0.749
```

# 10
The following is a PBE calculation of crystalline NbAlPdW2 at its relaxed geometry, from Alexandria via LeMat-Bulk.

Computed properties:
Total DFT energy (no corrections), eV/atom: -7.49
Energy of formation, eV/atom: 1.49

Geometry as POSCAR:
```
NbAlPdW2
1.0
4.798 0.000 0.000
0.000 4.798 0.000
0.000 0.000 4.338
Nb Al Pd W
1 1 1 2
Direct
0.000 0.000 0.000
0.500 0.500 0.000
0.500 0.500 0.500
0.000 0.500 0.500
0.500 0.000 0.500
```

# 11
The following is a PBE calculation of crystalline Pm2NbAl at its relaxed geometry, from Alexandria via LeMat-Bulk.

Computed properties:
Total DFT energy (no corrections), eV/atom: -5.33
Energy of formation, eV/atom: 0.50

Geometry as POSCAR:
```
Pm2NbAl
1.0
3.202 0.000 0.000
-1.601 2.773 0.000
0.000 0.000 33.930
Pm Nb Al
6 3 3
Direct
0.000 0.000 0.089
0.000 0.000 0.911
0.333 0.667 0.578
0.333 0.667 0.756
0.667 0.333 0.244
0.667 0.333 0.422
0.000 0.000 0.000
0.333 0.667 0.667
0.667 0.333 0.333
0.000 0.000 0.500
0.333 0.667 0.167
0.667 0.333 0.833
```

# 12
The following is a PBE calculation of crystalline Pm2NbAl2Ru5 at its relaxed geometry, from Alexandria via LeMat-Bulk.

Computed properties:
Total DFT energy (no corrections), eV/atom: -7.71
Energy of formation, eV/atom: -0.36

Geometry as POSCAR:
```
Pm2NbAl2Ru5
1.0
10.251 0.000 0.000
0.000 10.251 0.000
0.000 0.000 3.310
Pm Nb Al Ru
4 2 4 10
Direct
0.172 0.328 0.000
0.328 0.828 0.000
0.672 0.172 0.000
0.828 0.672 0.000
0.000 0.000 0.000
0.500 0.500 0.000
0.126 0.626 0.000
0.374 0.126 0.000
0.626 0.874 0.000
0.874 0.374 0.000
0.000 0.500 0.500
0.066 0.801 0.500
0.199 0.066 0.500
0.301 0.566 0.500
0.434 0.301 0.500
0.500 0.000 0.500
0.566 0.699 0.500
0.699 0.434 0.500
0.801 0.934 0.500
0.934 0.199 0.500
```

# 13
The following is a PBE calculation of crystalline Pr2NbAl at its relaxed geometry, from Alexandria via LeMat-Bulk.

Computed properties:
Total DFT energy (no corrections), eV/atom: -5.30
Energy of formation, eV/atom: 0.55

Geometry as POSCAR:
```
Pr2NbAl
1.0
3.233 0.000 0.000
-1.617 2.800 0.000
0.000 0.000 34.357
Pr Nb Al
6 3 3
Direct
0.000 0.000 0.088
0.000 0.000 0.912
0.333 0.667 0.578
0.333 0.667 0.755
0.667 0.333 0.245
0.667 0.333 0.422
0.000 0.000 0.000
0.333 0.667 0.667
0.667 0.333 0.333
0.000 0.000 0.500
0.333 0.667 0.167
0.667 0.333 0.833
```

# 14
The following is a PBE calculation of crystalline PrNbAl4 at its relaxed geometry, from Alexandria via LeMat-Bulk.

Computed properties:
Total DFT energy (no corrections), eV/atom: -5.26
Energy of formation, eV/atom: -0.29

Geometry as POSCAR:
```
PrNbAl4
1.0
0.000 3.847 3.847
3.847 0.000 3.847
3.847 3.847 0.000
Pr Nb Al
1 1 4
Direct
0.000 0.000 0.000
0.750 0.750 0.750
0.376 0.376 0.376
0.376 0.376 0.872
0.376 0.872 0.376
0.872 0.376 0.376
```

# 15
The following is a PBE calculation of crystalline Pr2NbAl2Ru5 at its relaxed geometry, from Alexandria via LeMat-Bulk.

Computed properties:
Total DFT energy (no corrections), eV/atom: -7.66
Energy of formation, eV/atom: -0.31

Geometry as POSCAR:
```
Pr2NbAl2Ru5
1.0
10.326 0.000 0.000
0.000 10.326 0.000
0.000 0.000 3.315
Pr Nb Al Ru
4 2 4 10
Direct
0.173 0.327 0.000
0.327 0.827 0.000
0.673 0.173 0.000
0.827 0.673 0.000
0.000 0.000 0.000
0.500 0.500 0.000
0.126 0.626 0.000
0.374 0.126 0.000
0.626 0.874 0.000
0.874 0.374 0.000
0.000 0.500 0.500
0.065 0.801 0.500
0.199 0.065 0.500
0.301 0.565 0.500
0.435 0.301 0.500
0.500 0.000 0.500
0.565 0.699 0.500
0.699 0.435 0.500
0.801 0.935 0.500
0.935 0.199 0.500
```

# 16
The following is a PBE calculation of crystalline NbAlPt3 at its relaxed geometry, from Alexandria via LeMat-Bulk.

Computed properties:
Total DFT energy (no corrections), eV/atom: -5.49
Energy relative to the lowest polymorph listed for this composition, meV per atom: 538.3
Energy of formation, eV/atom: 0.89

Geometry as POSCAR:
```
NbAlPt3
1.0
4.896 0.000 0.000
0.000 4.896 0.000
0.000 0.000 4.896
Nb Al Pt
1 1 3
Direct
0.000 0.000 0.000
0.500 0.500 0.500
0.000 0.000 0.500
0.000 0.500 0.000
0.500 0.000 0.000
```

# 17
The following is a PBE calculation of crystalline NbAl2Pt2 at its relaxed geometry, from Alexandria via LeMat-Bulk.

Computed properties:
Total DFT energy (no corrections), eV/atom: -6.64
Energy relative to the lowest polymorph listed for this composition, meV per atom: 33.5
Energy of formation, eV/atom: -0.71

Geometry as POSCAR:
```
NbAl2Pt2
1.0
7.522 0.000 0.000
0.000 7.522 0.000
0.000 0.000 2.796
Nb Al Pt
2 4 4
Direct
0.000 0.000 0.000
0.500 0.500 0.000
0.162 0.338 0.500
0.338 0.838 0.500
0.662 0.162 0.500
0.838 0.662 0.500
0.135 0.635 0.000
0.365 0.135 0.000
0.635 0.865 0.000
0.865 0.365 0.000
```

# 18
The following is a PBE calculation of crystalline NbAl3Pt12 at its relaxed geometry, from Alexandria via LeMat-Bulk.

Computed properties:
Total DFT energy (no corrections), eV/atom: -6.57
Energy of formation, eV/atom: -0.71

Geometry as POSCAR:
```
NbAl3Pt12
1.0
3.949 0.000 0.000
0.000 3.949 0.000
0.000 0.000 15.725
Nb Al Pt
1 3 12
Direct
0.000 0.000 0.000
0.000 0.000 0.259
0.000 0.000 0.500
0.000 0.000 0.741
0.000 0.500 0.126
0.000 0.500 0.376
0.000 0.500 0.624
0.000 0.500 0.874
0.500 0.000 0.126
0.500 0.000 0.376
0.500 0.000 0.624
0.500 0.000 0.874
0.500 0.500 0.000
0.500 0.500 0.251
0.500 0.500 0.500
0.500 0.500 0.749
```

# 19
The following is a PBE calculation of crystalline NbAlPt3 at its relaxed geometry, from Alexandria via LeMat-Bulk.

Computed properties:
Total DFT energy (no corrections), eV/atom: -6.03
Energy relative to the lowest polymorph listed for this composition, meV per atom: 0.0
Energy of formation, eV/atom: 0.35

Geometry as POSCAR:
```
NbAlPt3
1.0
4.533 0.000 0.000
0.000 4.533 0.000
0.000 0.000 4.533
Nb Al Pt
1 1 3
Direct
0.000 0.000 0.000
0.500 0.500 0.500
0.000 0.500 0.500
0.500 0.000 0.500
0.500 0.500 0.000
```

# 20
The following is a PBE calculation of crystalline NbAl2Pt2 at its relaxed geometry, from Alexandria via LeMat-Bulk.

Computed properties:
Total DFT energy (no corrections), eV/atom: -6.67
Energy relative to the lowest polymorph listed for this composition, meV per atom: 0.0
Energy of formation, eV/atom: -0.74

Geometry as POSCAR:
```
NbAl2Pt2
1.0
7.479 0.000 0.000
0.000 7.479 0.000
0.000 0.000 2.785
Nb Al Pt
2 4 4
Direct
0.000 0.000 0.000
0.500 0.500 0.000
0.138 0.362 0.000
0.362 0.862 0.000
0.638 0.138 0.000
0.862 0.638 0.000
0.160 0.660 0.500
0.340 0.160 0.500
0.660 0.840 0.500
0.840 0.340 0.500
```